BiPbS4 after structural relaxation. Source: the Alexandria database, functional PBE-GGA.

Calculated values
**Theoretical density**: 5.18 g/cm³
**E_form (uncorrected)**: 0.136 eV per atom
**Final energy**: -3.880 eV per atom

Cell lengths 6.1453, 6.1453, 9.3213 Å; angles 90.00, 90.00, 97.20 degrees
Fractional positions:
Bi 0.4667 0.4667 0.7500
Bi 0.5333 0.5333 0.2500
Pb 0.9284 0.9284 0.7500
Pb 0.0716 0.0716 0.2500
S 0.6706 0.1132 0.2500
S 0.3294 0.8868 0.7500
S 0.1132 0.6706 0.2500
S 0.8868 0.3294 0.7500
S 0.7026 0.7026 0.5519
S 0.2974 0.2974 0.0519
S 0.7026 0.7026 0.9481
S 0.2974 0.2974 0.4481